PBE GaPbAu, relaxed; SG = Imma (74)
1.0
-2.866 2.963 3.959
2.866 -2.963 3.959
2.866 2.963 -3.959
Ga Pb Au
2 2 2
direct
0.000 0.000 0.000
0.500 0.000 0.500
0.373 0.623 0.750
0.627 0.377 0.250
0.000 0.000 0.500
0.000 0.500 0.000

PBE GaPb3Au, relaxed; ΔE to the lowest computed polymorph = 0 meV/atom; SG = Pm-3m (221)
1.0
5.586 0.000 0.000
0.000 5.586 0.000
0.000 0.000 5.586
Ga Pb Au
1 3 1
direct
0.000 0.000 0.000
0.000 0.500 0.500
0.500 0.000 0.500
0.500 0.500 0.000
0.500 0.500 0.500

PBE GaPb3Au8, relaxed; SG = P6_3mc (186)
1.0
10.104 0.000 0.000
-5.052 8.751 0.000
0.000 0.000 5.795
Ga Pb Au
2 6 16
direct
0.333 0.667 0.000
0.667 0.333 0.500
0.154 0.307 0.262
0.154 0.846 0.262
0.307 0.154 0.762
0.693 0.846 0.262
0.846 0.154 0.762
0.846 0.693 0.762
0.000 0.000 0.016
0.000 0.000 0.516
0.005 0.503 0.007
0.205 0.410 0.758
0.205 0.795 0.758
0.333 0.667 0.442
0.410 0.205 0.258
0.497 0.503 0.007
0.497 0.995 0.007
0.503 0.005 0.507
0.503 0.497 0.507
0.590 0.795 0.758
0.667 0.333 0.942
0.795 0.205 0.258
0.795 0.590 0.258
0.995 0.497 0.507

PBE Ga6PbAu12, relaxed; SG = R-3m (166)
1.0
6.083 3.512 2.919
-6.083 3.512 2.919
0.000 -7.024 2.919
Ga Pb Au
6 1 12
direct
0.287 0.287 0.694
0.287 0.694 0.287
0.306 0.713 0.713
0.694 0.287 0.287
0.713 0.306 0.713
0.713 0.713 0.306
0.000 0.000 0.000
0.118 0.500 0.882
0.118 0.882 0.500
0.125 0.372 0.372
0.372 0.125 0.372
0.372 0.372 0.125
0.500 0.118 0.882
0.500 0.882 0.118
0.628 0.628 0.875
0.628 0.875 0.628
0.875 0.628 0.628
0.882 0.118 0.500
0.882 0.500 0.118

PBE Ga2Pb3Au7, relaxed; SG = Cmmm (65)
1.0
2.043 -17.198 0.000
2.043 17.198 0.000
0.000 0.000 4.066
Ga Pb Au
2 3 7
direct
0.073 0.927 0.000
0.927 0.073 0.000
0.290 0.710 0.500
0.500 0.500 0.500
0.710 0.290 0.500
0.000 0.000 0.000
0.121 0.879 0.500
0.184 0.816 0.000
0.378 0.622 0.000
0.622 0.378 0.000
0.816 0.184 0.000
0.879 0.121 0.500

PBE Ga3PbAu10, relaxed; SG = P-1 (2)
1.0
8.090 0.000 0.000
3.429 7.423 0.000
2.820 2.045 9.441
Ga Pb Au
6 2 20
direct
0.163 0.265 0.279
0.249 0.748 0.231
0.271 0.262 0.687
0.729 0.738 0.313
0.751 0.252 0.769
0.837 0.735 0.721
0.250 0.719 0.752
0.750 0.281 0.248
0.010 0.436 0.882
0.038 0.193 0.554
0.065 0.075 0.856
0.201 0.091 0.085
0.295 0.896 0.417
0.315 0.534 0.491
0.382 0.457 0.132
0.408 0.305 0.894
0.413 0.189 0.431
0.463 0.944 0.839
0.537 0.056 0.161
0.587 0.811 0.569
0.592 0.695 0.106
0.618 0.543 0.868
0.685 0.466 0.509
0.705 0.104 0.583
0.799 0.909 0.915
0.935 0.925 0.144
0.962 0.807 0.446
0.990 0.564 0.118

PBE GaPb2Au, relaxed; SG = R-3m (166)
1.0
1.698 0.980 10.770
-1.698 0.980 10.770
0.000 -1.960 10.770
Ga Pb Au
1 2 1
direct
0.000 0.000 0.000
0.095 0.095 0.095
0.905 0.905 0.905
0.500 0.500 0.500

PBE Ga2PbAu8, relaxed; SG = C2/m (12)
1.0
9.070 -1.622 0.000
9.070 1.622 0.000
-3.004 0.000 7.184
Ga Pb Au
2 1 8
direct
0.199 0.199 0.194
0.801 0.801 0.806
0.500 0.500 0.500
0.051 0.051 0.206
0.179 0.179 0.786
0.325 0.325 0.528
0.408 0.408 0.062
0.592 0.592 0.938
0.675 0.675 0.472
0.821 0.821 0.214
0.949 0.949 0.794

PBE Ga2PbAu, relaxed; SG = I-42d (122)
1.0
-2.348 2.348 8.754
2.348 -2.348 8.754
2.348 2.348 -8.754
Ga Pb Au
4 2 2
direct
0.033 0.625 0.908
0.375 0.283 0.408
0.717 0.125 0.092
0.875 0.967 0.592
0.250 0.750 0.500
0.500 0.500 0.000
0.000 0.000 0.000
0.750 0.250 0.500

PBE Ga2PbAu2, relaxed; ΔE to the lowest computed polymorph = 106 meV/atom; SG = P4/mbm (127)
1.0
8.219 0.000 0.000
0.000 8.219 0.000
0.000 0.000 3.085
Ga Pb Au
4 2 4
direct
0.134 0.366 0.000
0.366 0.866 0.000
0.634 0.134 0.000
0.866 0.634 0.000
0.000 0.000 0.000
0.500 0.500 0.000
0.158 0.658 0.500
0.342 0.158 0.500
0.658 0.842 0.500
0.842 0.342 0.500

PBE GaPbAu, relaxed; SG = P1 (1)
1.0
3.894 0.000 0.000
-0.060 6.039 0.000
-1.909 -2.596 6.021
Ga Pb Au
2 2 2
direct
0.000 0.000 0.000
0.233 0.511 0.473
0.312 0.064 0.642
0.556 0.620 0.136
0.646 0.167 0.292
0.870 0.535 0.759

PBE Ga3Pb2Au5, relaxed; SG = P1 (1)
1.0
4.576 0.000 0.000
0.013 7.406 0.000
1.582 0.021 12.614
Ga Pb Au
6 4 10
direct
0.000 0.000 0.000
0.061 0.790 0.664
0.366 0.087 0.329
0.429 0.537 0.102
0.527 0.289 0.776
0.832 0.586 0.439
0.150 0.287 0.559
0.513 0.780 0.865
0.894 0.794 0.225
0.903 0.289 0.208
0.032 0.080 0.793
0.038 0.493 0.787
0.327 0.789 0.469
0.373 0.491 0.320
0.439 0.019 0.116
0.580 0.004 0.645
0.586 0.573 0.639
0.685 0.291 0.968
0.832 0.024 0.428
0.968 0.626 0.007

PBE Ga2Pb3Au8, relaxed; SG = P2/m (10)
1.0
7.237 0.000 0.000
0.000 3.598 0.000
-2.575 0.000 10.871
Ga Pb Au
2 3 8
direct
0.238 0.000 0.073
0.762 0.000 0.927
0.153 0.500 0.636
0.500 0.000 0.500
0.847 0.500 0.364
0.085 0.500 0.898
0.136 0.000 0.294
0.379 0.000 0.867
0.425 0.500 0.257
0.575 0.500 0.743
0.621 0.000 0.133
0.864 0.000 0.706
0.915 0.500 0.102

PBE Ga2PbAu6, relaxed; ΔE to the lowest computed polymorph = 132 meV/atom; SG = Fd-3m (227)
1.0
0.000 5.898 5.898
5.898 0.000 5.898
5.898 5.898 0.000
Ga Pb Au
4 2 12
direct
0.000 0.000 0.000
0.000 0.000 0.500
0.000 0.500 0.000
0.500 0.000 0.000
0.375 0.375 0.375
0.625 0.625 0.625
0.129 0.129 0.621
0.129 0.621 0.129
0.129 0.621 0.621
0.379 0.379 0.871
0.379 0.871 0.379
0.379 0.871 0.871
0.621 0.129 0.129
0.621 0.129 0.621
0.621 0.621 0.129
0.871 0.379 0.379
0.871 0.379 0.871
0.871 0.871 0.379

PBE GaPbAu, relaxed; SG = Cmme (67)
1.0
2.904 -3.110 0.000
2.904 3.110 0.000
0.000 0.000 7.571
Ga Pb Au
2 2 2
direct
0.250 0.250 0.000
0.750 0.750 0.000
0.250 0.750 0.632
0.750 0.250 0.368
0.250 0.750 0.222
0.750 0.250 0.778

PBE Ga2PbAu7, relaxed; SG = Cmmm (65)
1.0
3.752 -6.524 0.000
3.752 6.524 0.000
0.000 0.000 4.721
Ga Pb Au
2 1 7
direct
0.200 0.800 0.000
0.800 0.200 0.000
0.500 0.500 0.500
0.000 0.000 0.000
0.195 0.429 0.000
0.276 0.724 0.500
0.429 0.195 0.000
0.571 0.805 0.000
0.724 0.276 0.500
0.805 0.571 0.000

PBE Ga2PbAu, relaxed; SG = R3m (160)
1.0
2.169 1.252 5.786
-2.169 1.252 5.786
0.000 -2.504 5.786
Ga Pb Au
2 1 1
direct
0.000 0.000 0.000
0.225 0.225 0.225
0.782 0.782 0.782
0.603 0.603 0.603

PBE Ga2PbAu2, relaxed; ΔE to the lowest computed polymorph = 3 meV/atom; SG = I4/mmm (139)
1.0
-2.086 2.086 6.155
2.086 -2.086 6.155
2.086 2.086 -6.155
Ga Pb Au
2 1 2
direct
0.250 0.750 0.500
0.750 0.250 0.500
0.000 0.000 0.000
0.384 0.384 0.000
0.616 0.616 0.000

PBE GaPbAu, relaxed; SG = P3m1 (156)
1.0
4.459 0.000 0.000
-2.230 3.862 0.000
0.000 0.000 4.166
Ga Pb Au
1 1 1
direct
0.000 0.000 0.000
0.333 0.667 0.526
0.667 0.333 0.083

PBE Ga2PbAu6, relaxed; ΔE to the lowest computed polymorph = 0 meV/atom; SG = C2/m (12)
1.0
5.282 -5.041 0.000
5.282 5.041 0.000
-1.174 0.000 3.470
Ga Pb Au
2 1 6
direct
0.133 0.133 0.145
0.867 0.867 0.855
0.500 0.500 0.500
0.107 0.393 0.752
0.228 0.772 0.000
0.393 0.107 0.752
0.607 0.893 0.248
0.772 0.228 0.000
0.893 0.607 0.248

PBE GaPbAu, relaxed; SG = Pnma (62)
1.0
7.183 0.000 0.000
0.000 3.572 0.000
0.000 0.000 11.101
Ga Pb Au
4 4 4
direct
0.083 0.250 0.084
0.417 0.750 0.584
0.583 0.250 0.416
0.917 0.750 0.916
0.147 0.250 0.385
0.353 0.750 0.885
0.647 0.250 0.115
0.853 0.750 0.615
0.186 0.250 0.682
0.314 0.750 0.182
0.686 0.250 0.818
0.814 0.750 0.318

Quick rundown of formation energy, same order as above: -0.05, 0.38, -0.05, -0.09, -0.03, -0.09, 0.15, -0.07, 0.01, -0.05, -0.09, -0.12, -0.05, 0.03, -0.12, 0.01, -0.07, -0.15, -0.09, -0.10, -0.02 eV per atom